No. 1
This record from Alexandria describes a geometry-optimized Sn3AsW structure. The functional is GGA-PBE.

Summary:
As for the energy of formation: 0.725 eV/atom.

Cell and atoms, written as extended XYZ:
```
5
Lattice="5.293 0.000 0.000 0.000 5.293 0.000 0.000 0.000 5.293" Properties=species:S:1:pos:R:3 pbc="T T T"
Sn 2.647 0.000 0.000
W 0.000 0.000 0.000
Sn 0.000 0.000 2.647
As 2.647 2.647 2.647
Sn 0.000 2.647 0.000
```

***

No. 2
This record from Alexandria describes a geometry-optimized Ca8IrPb2 structure. The functional is GGA-PBE.

Summary:
As for the energy of formation: -0.380 eV/atom.

Cell and atoms, written as extended XYZ:
```
11
Lattice="-0.204 -3.765 -3.852 6.237 2.407 -2.682 1.894 -4.785 8.349" Properties=species:S:1:pos:R:3 pbc="T T T"
Ca 5.459 -4.085 -0.068
Ca 2.884 -7.805 3.705
Ca 5.127 -4.000 3.639
Ca 1.645 -4.609 4.418
Ir -0.102 -1.883 -1.926
Ca 2.469 -2.059 1.882
Pb 5.068 -0.735 0.451
Ca 2.800 -2.144 -1.824
Ca 5.044 1.661 -1.891
Ca 6.283 -1.535 -2.604
Pb 2.860 -5.408 1.364
```

***

No. 3
This record from Alexandria describes a geometry-optimized PmSm3Er3S8 structure. The functional is GGA-PBE.

Summary:
The value obtained for the uncorrected formation energy is -2945 kJ/mol of formula units.

Cell and atoms, written as extended XYZ:
```
15
Lattice="7.854 0.000 0.000 -3.927 6.802 -0.024 0.000 -4.512 6.475" Properties=species:S:1:pos:R:3 pbc="T T T"
S 5.819 -1.087 1.646
Sm -1.964 3.401 -0.012
S 1.892 3.376 4.805
S 2.035 -1.087 1.646
Er 3.927 -2.256 3.238
S 3.927 0.017 4.762
Er 1.964 1.145 3.226
S 3.927 2.190 1.634
S 0.000 2.273 1.689
Pm 0.000 -2.256 3.238
Er -1.964 1.145 3.226
Sm 0.000 0.000 0.000
S -1.892 3.376 4.805
Sm 1.964 3.401 -0.012
S 0.000 0.099 4.817
```

***

No. 4
This record from Alexandria describes a geometry-optimized MgZnSbPb structure. The functional is GGA-PBE.

Summary:
The value obtained for the uncorrected formation energy is 30 kJ/mol of formula units.

Cell and atoms, written as extended XYZ:
```
4
Lattice="5.171 0.000 0.000 2.585 4.478 0.000 2.585 1.493 4.222" Properties=species:S:1:pos:R:3 pbc="T T T"
Pb 0.000 0.000 0.000
Mg 7.756 4.478 3.167
Sb 5.171 2.985 2.111
Zn 2.585 1.493 1.056
```

***

No. 5
This record from Alexandria describes a geometry-optimized Hg3SbPt structure. The functional is GGA-PBE.

Summary:
The value obtained for the uncorrected formation energy is 412 kJ/mol of formula units.

Cell and atoms, written as extended XYZ:
```
5
Lattice="-3.850 -3.051 -2.555 3.835 -3.794 -1.247 -1.063 -2.637 4.751" Properties=species:S:1:pos:R:3 pbc="T T T"
Pt -0.539 -4.741 0.475
Hg -1.925 -1.526 -1.277
Hg 1.917 -1.897 -0.624
Sb 0.000 0.000 0.000
Hg -0.532 -1.318 2.376
```

***

No. 6
This record from Alexandria describes a geometry-optimized Tl4SbSe6 structure. The functional is GGA-PBE.

Summary:
The value obtained for the uncorrected formation energy is -241 kJ/mol of formula units.

Cell and atoms, written as extended XYZ:
```
22
Lattice="-3.161 4.406 6.910 -7.828 0.117 1.927 -2.444 -8.623 9.963" Properties=species:S:1:pos:R:3 pbc="T T T"
Tl -3.861 2.176 6.762
Tl -10.054 -4.625 10.492
Sb -9.401 -0.517 10.465
Tl -7.495 -1.111 6.419
Se -9.122 -3.568 13.316
Se -4.855 1.896 9.270
Se -3.789 -2.078 7.684
Tl -9.704 -1.090 14.254
Se -5.668 1.331 4.985
Se -7.530 -2.139 9.700
Sb -4.857 -7.468 10.436
Tl -10.016 -5.379 15.169
Se -9.193 1.173 8.509
Se -5.275 -3.565 5.814
Tl -5.122 -0.789 9.752
Se -5.534 -3.821 16.282
Tl -4.365 -1.142 3.338
Se -4.527 -0.877 12.393
Se -10.665 -3.905 17.434
Se -2.046 1.629 2.993
Tl -5.950 -3.881 12.945
Se -5.201 -5.009 9.684
```

***

No. 7
This record from Alexandria describes a geometry-optimized Nd2Ga3Rh2 structure. The functional is GGA-PBE.

Summary:
As for the energy of formation: -0.705 eV/atom.

Cell and atoms, written as extended XYZ:
```
14
Lattice="4.180 0.000 -0.997 0.000 7.036 0.000 0.087 0.000 9.627" Properties=species:S:1:pos:R:3 pbc="T T T"
Nd 3.559 5.277 5.664
Ga 1.910 6.541 8.013
Nd 0.707 1.759 2.966
Nd 4.016 1.759 7.580
Rh 1.342 3.194 5.628
Ga 2.356 0.495 0.617
Ga 2.356 3.023 0.617
Ga 1.910 4.014 8.013
Rh 1.342 0.324 5.628
Ga 0.955 5.277 4.004
Rh 2.924 6.712 3.002
Rh 2.924 3.842 3.002
Ga 3.312 1.759 4.626
Nd 0.250 5.277 1.050
```

***

What did we get for density of states at the Fermi level? Answer: 2.5; 7.6; 6.3; 2.5; 6.6; 3.1; 11.1 states/eV/cell, in the order shown.